Crystalline ZnHg2 at its relaxed geometry, computed with PBE.

Unit cell a=5.082 b=5.791 c=5.791 alpha=101.10 beta=116.03 gamma=63.97
Positions (direct):
Hg (0.654, 0.500, 0.808)
Hg (0.346, 0.500, 0.192)
Hg (0.154, 0.192, 0.500)
Hg (0.846, 0.808, 0.500)
Zn (0.250, 0.000, 0.000)
Zn (0.750, 0.000, 0.000)

Output
Total moment: 0.0 μB/cell
Energy of formation from the pure elements: 0.067 eV per atom

---

Crystalline ZnHg4 at its relaxed geometry, computed with PBE.

Unit cell a=6.097 b=6.097 c=6.097 alpha=95.22 beta=95.22 gamma=144.90
Positions (direct):
Hg (0.780, 0.570, 0.351)
Hg (0.220, 0.430, 0.649)
Hg (0.430, 0.780, 0.210)
Hg (0.570, 0.220, 0.790)
Zn (0.000, 0.000, 0.000)

Output
Total moment: 0.0 μB/cell
Energy of formation from the pure elements: 0.075 eV per atom

---

Crystalline Zn5Hg3 at its relaxed geometry, computed with PBE.

Unit cell a=6.040 b=6.040 c=4.120 alpha=90.00 beta=90.00 gamma=91.24
Positions (direct):
Zn (0.747, 0.747, 0.500)
Zn (0.253, 0.253, 0.500)
Zn (0.500, 0.000, 0.000)
Zn (0.000, 0.500, 0.000)
Zn (0.000, 0.000, 0.000)
Hg (0.500, 0.500, 0.000)
Hg (0.228, 0.772, 0.500)
Hg (0.772, 0.228, 0.500)

Output
Total moment: 0.0 μB/cell
Energy of formation from the pure elements: 0.132 eV per atom

---

Crystalline ZnHg at its relaxed geometry, computed with PBE.

Unit cell a=8.257 b=8.257 c=8.257 alpha=90.00 beta=90.00 gamma=90.00
Positions (direct):
Zn (0.886, 0.886, 0.114)
Zn (0.614, 0.386, 0.386)
Zn (0.886, 0.114, 0.886)
Zn (0.114, 0.886, 0.886)
Zn (0.386, 0.614, 0.386)
Zn (0.614, 0.614, 0.614)
Zn (0.386, 0.386, 0.614)
Zn (0.114, 0.114, 0.114)
Hg (0.707, 0.707, 0.293)
Hg (0.207, 0.207, 0.793)
Hg (0.707, 0.293, 0.707)
Hg (0.293, 0.293, 0.293)
Hg (0.207, 0.793, 0.207)
Hg (0.293, 0.707, 0.707)
Hg (0.793, 0.793, 0.793)
Hg (0.793, 0.207, 0.207)

Output
Total moment: 0.0 μB/cell
Energy of formation from the pure elements: 0.237 eV per atom

---

Crystalline ZnHg2 at its relaxed geometry, computed with PBE.

Unit cell a=7.617 b=7.617 c=4.106 alpha=90.00 beta=90.00 gamma=120.00
Positions (direct):
Zn (0.000, 0.000, 0.500)
Zn (0.333, 0.667, 0.000)
Zn (0.667, 0.333, 0.000)
Hg (0.730, 0.730, 0.000)
Hg (0.270, 0.000, 0.000)
Hg (0.395, 0.395, 0.500)
Hg (0.605, 0.000, 0.500)
Hg (0.000, 0.605, 0.500)
Hg (0.000, 0.270, 0.000)

Output
Total moment: 0.0 μB/cell
Energy of formation from the pure elements: 0.095 eV per atom

---

Crystalline ZnHg at its relaxed geometry, computed with PBE.

Unit cell a=3.853 b=4.763 c=4.903 alpha=81.50 beta=67.90 gamma=89.35
Positions (direct):
Zn (0.376, 0.120, 0.243)
Zn (0.624, 0.880, 0.757)
Hg (0.126, 0.342, 0.754)
Hg (0.874, 0.658, 0.246)

Output
Total moment: 0.0 μB/cell
Energy of formation from the pure elements: 0.101 eV per atom

---

Crystalline Zn3Hg at its relaxed geometry, computed with PBE.

Unit cell a=5.532 b=5.456 c=4.702 alpha=90.00 beta=90.00 gamma=90.00
Positions (direct):
Hg (0.500, 0.500, 0.344)
Hg (0.000, 0.000, 0.656)
Zn (0.261, 0.000, 0.159)
Zn (0.739, 0.000, 0.159)
Zn (0.239, 0.500, 0.841)
Zn (0.761, 0.500, 0.841)
Zn (0.500, 0.000, 0.666)
Zn (0.000, 0.500, 0.334)

Output
Total moment: 0.0 μB/cell
Energy of formation from the pure elements: 0.089 eV per atom

---

Crystalline ZnHg2 at its relaxed geometry, computed with PBE.

Unit cell a=3.500 b=3.500 c=6.437 alpha=90.00 beta=90.00 gamma=120.00
Positions (direct):
Hg (0.000, 0.000, 0.020)
Hg (0.333, 0.667, 0.647)
Zn (0.667, 0.333, 0.333)

Output
Total moment: 0.0 μB/cell
Energy of formation from the pure elements: 0.085 eV per atom